The following is a DFT calculation (PBEsol) of a relaxed structure of UCu2P2O10.

Lattice parameters (Å, degrees): 7.6430 7.6430 5.0414 107.38 107.38 43.91
Sites, in units of the cell vectors:
U: 0.0000 0.0000 0.0000
Cu: 0.0000 0.5000 0.5000
Cu: 0.5000 0.0000 0.5000
P: 0.3541 0.3541 0.0919
P: 0.6459 0.6459 0.9081
O: 0.1007 0.1007 0.3372
O: 0.1962 0.6383 0.1424
O: 0.2794 0.2794 0.7847
O: 0.2920 0.2920 0.2980
O: 0.3617 0.8038 0.8576
O: 0.6383 0.1962 0.1424
O: 0.7080 0.7080 0.7020
O: 0.7206 0.7206 0.2153
O: 0.8038 0.3617 0.8576
O: 0.8993 0.8993 0.6628

Properties
Formation energy from raw total energies, eV/atom: -1.996
Space-group type: No. 12
DFT total energy, eV/atom: -7.656

***

The following is a DFT calculation (PBEsol) of a relaxed structure of TaNiAs2.

Lattice parameters (Å, degrees): 5.7348 5.7348 5.7348 145.79 144.22 50.34
Sites, in units of the cell vectors:
Ta: 0.0000 0.0000 0.0000
Ni: 0.2313 0.7313 0.5000
As: 0.4108 0.4108 0.0000
As: 0.6822 0.1822 0.5000

Properties
Space-group type: No. 44
E_form, meV per atom: -206
DFT total energy, eV/atom: -7.437

***

The following is a DFT calculation (PBEsol) of a relaxed structure of ScHg2.

Lattice parameters (Å, degrees): 3.4448 3.4448 6.4872 90.00 90.00 120.00
Sites, in units of the cell vectors:
Sc: 0.0000 0.0000 0.0000
Hg: 0.3333 0.6667 0.6739
Hg: 0.6667 0.3333 0.3261

Properties
Space-group type: No. 164
E_form, meV per atom: -304
DFT total energy, eV/atom: -2.883

***

The following is a DFT calculation (PBEsol) of a relaxed structure of PSO2.

Lattice parameters (Å, degrees): 6.3611 6.3611 6.3611 27.89 27.89 27.89
Sites, in units of the cell vectors:
P: 0.0000 0.0000 0.0000
S: 0.5000 0.5000 0.5000
O: 0.3936 0.3936 0.3936
O: 0.6064 0.6064 0.6064

Properties
Formation energy from raw total energies, eV/atom: -0.076
Space-group type: No. 166
DFT total energy, eV/atom: -5.244
Energy above the lowest structure with this stoichiometry, eV per atom: 0.000

***

The following is a DFT calculation (PBEsol) of a relaxed structure of Ba5Li3.

Lattice parameters (Å, degrees): 7.8104 7.8104 6.1652 90.00 90.00 106.26
Sites, in units of the cell vectors:
Ba: 0.0000 0.0000 0.0000
Ba: 0.0000 0.5000 0.0000
Ba: 0.2774 0.2774 0.5000
Ba: 0.5000 0.0000 0.0000
Ba: 0.7226 0.7226 0.5000
Li: 0.2227 0.7773 0.5000
Li: 0.5000 0.5000 0.0000
Li: 0.7773 0.2227 0.5000

Properties
Space-group type: No. 65
E_form, meV per atom: 77
DFT total energy, eV/atom: -2.004
Energy above the lowest structure with this stoichiometry, eV per atom: 0.032

***

The following is a DFT calculation (PBEsol) of a relaxed structure of YMg2W.

Lattice parameters (Å, degrees): 2.8601 5.1097 5.6465 90.00 98.32 90.00
Sites, in units of the cell vectors:
Y: 0.0000 0.0000 0.0000
Mg: 0.2854 0.5000 0.7250
Mg: 0.7146 0.5000 0.2750
W: 0.5000 0.0000 0.5000

Properties
Space-group type: No. 10
E_form, meV per atom: 457
DFT total energy, eV/atom: -5.559
Energy above the lowest structure with this stoichiometry, eV per atom: 0.000

***

The following is a DFT calculation (PBEsol) of a relaxed structure of ZrScP2.

Lattice parameters (Å, degrees): 4.5581 4.5581 3.2273 90.00 90.00 90.00
Sites, in units of the cell vectors:
Zr: 0.0000 0.0000 0.0000
Sc: 0.5000 0.5000 0.0000
P: 0.0000 0.5000 0.5000
P: 0.5000 0.0000 0.5000

Properties
Space-group type: No. 123
E_form, meV per atom: -982
DFT total energy, eV/atom: -7.801
Energy above the lowest structure with this stoichiometry, eV per atom: 0.518

***

The following is a DFT calculation (PBEsol) of a relaxed structure of ZrTi2SiC.

Lattice parameters (Å, degrees): 4.7062 4.7062 4.8448 90.00 90.00 90.00
Sites, in units of the cell vectors:
Zr: 0.0000 0.0000 0.0000
Ti: 0.0000 0.5000 0.0000
Ti: 0.5000 0.0000 0.0000
Si: 0.0000 0.0000 0.5000
C: 0.5000 0.5000 0.5000

Properties
Formation energy from raw total energies, eV/atom: 2.336
Space-group type: No. 123
DFT total energy, eV/atom: -5.889

***

The following is a DFT calculation (PBEsol) of a relaxed structure of TaOsSe2.

Lattice parameters (Å, degrees): 8.5972 8.5972 8.5972 20.72 20.72 20.72
Sites, in units of the cell vectors:
Ta: 0.0000 0.0000 0.0000
Os: 0.5000 0.5000 0.5000
Se: 0.4068 0.4068 0.4068
Se: 0.5932 0.5932 0.5932

Properties
Formation energy from raw total energies, eV/atom: 0.108
Space-group type: No. 166
DFT total energy, eV/atom: -8.009
Energy above the lowest structure with this stoichiometry, eV per atom: 0.141

***

The following is a DFT calculation (PBEsol) of a relaxed structure of Li2BrCl.

Lattice parameters (Å, degrees): 3.7121 3.7121 5.2428 90.00 90.00 90.00
Sites, in units of the cell vectors:
Li: 0.0000 0.0000 0.0000
Li: 0.5000 0.5000 0.5000
Br: 0.0000 0.0000 0.5000
Cl: 0.5000 0.5000 0.0000

Properties
Formation energy from raw total energies, eV/atom: -1.676
Space-group type: No. 123
DFT total energy, eV/atom: -3.628
Energy above the lowest structure with this stoichiometry, eV per atom: 0.006

***

The following is a DFT calculation (PBEsol) of a relaxed structure of MnCd2Ru.

Lattice parameters (Å, degrees): 2.8291 2.8291 7.8474 90.00 90.00 90.00
Sites, in units of the cell vectors:
Mn: 0.0000 0.0000 0.0000
Cd: 0.0000 0.0000 0.4387
Cd: 0.5000 0.5000 0.7479
Ru: 0.5000 0.5000 0.1717

Properties
Space-group type: No. 99
E_form, meV per atom: 166
DFT total energy, eV/atom: -5.416
Energy above the lowest structure with this stoichiometry, eV per atom: 0.000

***

The following is a DFT calculation (PBEsol) of a relaxed structure of Ba8Ta2Ru3Br2O18.

Lattice parameters (Å, degrees): 20.0313 20.0313 20.0313 16.76 16.76 16.76
Sites, in units of the cell vectors:
Ba: 0.0582 0.0582 0.0582
Ba: 0.1301 0.1301 0.1301
Ba: 0.2428 0.2428 0.2428
Ba: 0.3122 0.3122 0.3122
Ba: 0.6878 0.6878 0.6878
Ba: 0.7572 0.7572 0.7572
Ba: 0.8699 0.8699 0.8699
Ba: 0.9418 0.9418 0.9418
Ta: 0.4169 0.4169 0.4169
Ta: 0.5831 0.5831 0.5831
Ru: 0.0000 0.0000 0.0000
Ru: 0.3695 0.3695 0.3695
Ru: 0.6305 0.6305 0.6305
Br: 0.1874 0.1874 0.1874
Br: 0.8126 0.8126 0.8126
O: 0.0894 0.5424 0.5424
O: 0.1830 0.1830 0.6904
O: 0.1830 0.6904 0.1830
O: 0.2380 0.7336 0.7336
O: 0.2664 0.2664 0.7620
O: 0.2664 0.7620 0.2664
O: 0.3096 0.8170 0.8170
O: 0.4576 0.4576 0.9106
O: 0.4576 0.9106 0.4576
O: 0.5424 0.0894 0.5424
O: 0.5424 0.5424 0.0894
O: 0.6904 0.1830 0.1830
O: 0.7336 0.2380 0.7336
O: 0.7336 0.7336 0.2380
O: 0.7620 0.2664 0.2664
O: 0.8170 0.3096 0.8170
O: 0.8170 0.8170 0.3096
O: 0.9106 0.4576 0.4576

Properties
Formation energy from raw total energies, eV/atom: -2.371
Space-group type: No. 166
DFT total energy, eV/atom: -7.554

***

Question: Which of these has the highest DFT total energy?
Answer: Ba5Li3

***

Question: Number 11 is which compound?
Answer: MnCd2Ru

***

What did the ninth record say?
The following is a DFT calculation (PBEsol) of a relaxed structure of TaOsSe2.

Lattice parameters (Å, degrees): 8.5972 8.5972 8.5972 20.72 20.72 20.72
Sites, in units of the cell vectors:
Ta: 0.0000 0.0000 0.0000
Os: 0.5000 0.5000 0.5000
Se: 0.4068 0.4068 0.4068
Se: 0.5932 0.5932 0.5932

Properties
Formation energy from raw total energies, eV/atom: 0.108
Space-group type: No. 166
DFT total energy, eV/atom: -8.009
Energy above the lowest structure with this stoichiometry, eV per atom: 0.141